No. 1
! TbNdAl2I2, relaxed, DFT PBE; values from VASP
&SYSTEM
  ibrav = 0, nat = 6, ntyp = 4
/
ATOMIC_SPECIES
Tb 158.93 Tb.upf
Nd 144.24 Nd.upf
Al 26.98 Al.upf
I 126.90 I.upf
ATOMIC_POSITIONS crystal
Tb 0.0000 0.0000 0.0000
Nd 0.0000 0.0000 0.6575
Al 0.3333 0.6667 0.8472
Al 0.6667 0.3333 0.8184
I 0.3333 0.6667 0.4899
I 0.6667 0.3333 0.1589
CELL_PARAMETERS angstrom
4.3356 0.0000 0.0000
-2.1678 3.7547 0.0000
0.0000 0.0000 12.2303
! E: -4.25 eV/atom

No. 2
! LaCuSiPt, relaxed, DFT PBE; values from VASP
&SYSTEM
  ibrav = 0, nat = 4, ntyp = 4
/
ATOMIC_SPECIES
La 138.91 La.upf
Cu 63.55 Cu.upf
Si 28.09 Si.upf
Pt 195.08 Pt.upf
ATOMIC_POSITIONS crystal
La 0.0000 0.0000 0.0000
Cu 0.2500 0.2500 0.2500
Si 0.7500 0.7500 0.7500
Pt 0.5000 0.5000 0.5000
CELL_PARAMETERS angstrom
0.0000 3.3289 3.3289
3.3289 0.0000 3.3289
3.3289 3.3289 0.0000
! E: -5.43 eV/atom
! energy relative to the lowest polymorph listed for this composition: 0.0 meV/atom

No. 3
! NaTlTc, relaxed, DFT PBE; values from VASP
&SYSTEM
  ibrav = 0, nat = 3, ntyp = 3
/
ATOMIC_SPECIES
Na 22.99 Na.upf
Tl 204.38 Tl.upf
Tc 98.00 Tc.upf
ATOMIC_POSITIONS crystal
Na 0.0000 0.0000 0.0000
Tl 0.5000 0.5000 0.5000
Tc 0.7500 0.7500 0.7500
CELL_PARAMETERS angstrom
0.0000 3.3489 3.3489
3.3489 0.0000 3.3489
3.3489 3.3489 0.0000
! E: -3.62 eV/atom
! energy relative to the lowest polymorph listed for this composition: 0.0 meV/atom

No. 4
! TmLu2Se4, relaxed, DFT PBE; values from VASP
&SYSTEM
  ibrav = 0, nat = 14, ntyp = 3
/
ATOMIC_SPECIES
Tm 168.93 Tm.upf
Lu 174.97 Lu.upf
Se 78.96 Se.upf
ATOMIC_POSITIONS crystal
Tm 0.1250 0.1250 0.1250
Tm 0.8750 0.8750 0.8750
Lu 0.0000 0.5000 0.5000
Lu 0.5000 0.0000 0.5000
Lu 0.5000 0.5000 0.0000
Lu 0.5000 0.5000 0.5000
Se 0.2582 0.2582 0.2582
Se 0.2582 0.2582 0.7253
Se 0.2582 0.7253 0.2582
Se 0.2747 0.7418 0.7418
Se 0.7253 0.2582 0.2582
Se 0.7418 0.2747 0.7418
Se 0.7418 0.7418 0.2747
Se 0.7418 0.7418 0.7418
CELL_PARAMETERS angstrom
0.0000 5.8283 5.8283
5.8283 0.0000 5.8283
5.8283 5.8283 0.0000
! E: -5.58 eV/atom

No. 5
! BaTcBi2, relaxed, DFT PBE; values from VASP
&SYSTEM
  ibrav = 0, nat = 4, ntyp = 3
/
ATOMIC_SPECIES
Ba 137.33 Ba.upf
Tc 98.00 Tc.upf
Bi 208.98 Bi.upf
ATOMIC_POSITIONS crystal
Ba 0.0000 0.0000 0.0000
Tc 0.2500 0.2500 0.2500
Bi 0.5000 0.5000 0.5000
Bi 0.7500 0.7500 0.7500
CELL_PARAMETERS angstrom
0.0000 3.8227 3.8227
3.8227 0.0000 3.8227
3.8227 3.8227 0.0000
! E: -4.51 eV/atom

No. 6
! SmGd, relaxed, DFT PBE; values from VASP
&SYSTEM
  ibrav = 0, nat = 2, ntyp = 2
/
ATOMIC_SPECIES
Sm 150.36 Sm.upf
Gd 157.25 Gd.upf
ATOMIC_POSITIONS crystal
Sm 0.0000 0.0000 0.0000
Gd 0.2500 0.2500 0.2500
CELL_PARAMETERS angstrom
0.0000 3.4153 3.4153
3.4153 0.0000 3.4153
3.4153 3.4153 0.0000
! E: -2.89 eV/atom
! energy relative to the lowest polymorph listed for this composition: 1769.2 meV/atom